1.
# PBE SrH6N4, optimized geometry
data_SrH6N4
_chemical_formula_sum 'Sr2 H12 N8'
_cell_length_a 5.448
_cell_length_b 5.448
_cell_length_c 6.603
_cell_angle_alpha 90.00
_cell_angle_beta 90.00
_cell_angle_gamma 90.00
_space_group_name_H-M_alt 'I -4 2 m'
_space_group_IT_number 121
_space_group_name_Hall 'I -4 2'
loop_
_atom_site_label
_atom_site_fract_x
_atom_site_fract_y
_atom_site_fract_z
Sr1 0.000 0.000 0.000
H1 0.000 0.500 0.000
H2 0.208 0.208 0.707
N1 0.212 0.212 0.337
# Electronic total energy ... -88.71 eV per cell
# Total magnetization ... 8.01 μB per cell
# Fermi-level density of states ... 3.5 states/eV/f.u.

***

2.
# PBE Sr2HN, optimized geometry
data_Sr2HN
_chemical_formula_sum 'Sr2 H1 N1'
_cell_length_a 3.7441
_cell_length_b 3.7441
_cell_length_c 6.5839
_cell_angle_alpha 90.00
_cell_angle_beta 90.00
_cell_angle_gamma 120.00
_space_group_name_H-M_alt 'P -3 m 1'
_space_group_IT_number 164
_space_group_name_Hall '-P 3 2"'
loop_
_atom_site_label
_atom_site_fract_x
_atom_site_fract_y
_atom_site_fract_z
Sr1 0.3333 0.6667 0.2133
H1 0.0000 0.0000 0.5000
N1 0.0000 0.0000 0.0000
# Total magnetization ... 0.05 μB per cell
# Relative energy among the computed polymorphs ... 0.044 eV/atom
# Fermi-level density of states ... 0.0 states/eV/f.u.

***

3.
# PBE Sr4H3N2, optimized geometry
data_Sr4H3N2
_chemical_formula_sum 'Sr8 H6 N4'
_cell_length_a 12.879
_cell_length_b 3.596
_cell_length_c 6.950
_cell_angle_alpha 90.00
_cell_angle_beta 91.99
_cell_angle_gamma 90.00
_space_group_name_H-M_alt 'C 1 2/m 1'
_space_group_IT_number 12
_space_group_name_Hall '-C 2y'
loop_
_atom_site_label
_atom_site_fract_x
_atom_site_fract_y
_atom_site_fract_z
Sr1 0.131 0.000 0.070
Sr2 0.137 0.500 0.573
H1 0.000 0.000 0.500
H2 0.015 0.500 0.836
N1 0.248 0.500 0.247
# Electronic total energy ... -74.68 eV per cell
# Total magnetization ... 2.05 μB per cell
# Fermi-level density of states ... 4.2 states/eV/f.u.